1.
Entry from Alexandria: a relaxed Pr2SN2 crystal (PBE-GGA).

```
data_Pr2SN2
_chemical_formula_sum 'Pr8 S4 N8'
_cell_length_a 13.7921
_cell_length_b 4.1756
_cell_length_c 6.6230
_cell_angle_alpha 90.00
_cell_angle_beta 102.14
_cell_angle_gamma 90.00
_space_group_name_H-M_alt 'C 1 2/c 1'
_space_group_IT_number 15
_space_group_name_Hall '-C 2yc'
loop_
_atom_site_label
_atom_site_type_symbol
_atom_site_fract_x
_atom_site_fract_y
_atom_site_fract_z
Pr1 Pr 0.1427 0.2138 0.1479
S1 S 0.0000 0.2746 0.7500
N1 N 0.2185 0.3605 0.5304
```

The calculation puts the formation energy from raw total energies at -1.384 eV/atom. As for the uncorrected energy: -7.45 eV per atom. The calculation puts the density of states at the Fermi level at 0.223 states/eV/cell.



2.
Entry from Alexandria: a relaxed Pr4S3N2 crystal (PBE-GGA).

```
data_Pr4S3N2
_chemical_formula_sum 'Pr32 S24 N16'
_cell_length_a 18.0849
_cell_length_b 9.9929
_cell_length_c 12.8526
_cell_angle_alpha 90.00
_cell_angle_beta 134.51
_cell_angle_gamma 90.00
_space_group_name_H-M_alt 'C 1 2/c 1'
_space_group_IT_number 15
_space_group_name_Hall '-C 2yc'
loop_
_atom_site_label
_atom_site_type_symbol
_atom_site_fract_x
_atom_site_fract_y
_atom_site_fract_z
Pr1 Pr 0.0919 0.2056 0.1843
Pr2 Pr 0.1172 0.1948 0.7455
Pr3 Pr 0.1355 0.4469 0.5253
Pr4 Pr 0.1768 0.0404 0.5629
S1 S 0.0000 0.0210 0.2500
S2 S 0.1003 0.4970 0.2241
S3 S 0.1391 0.2491 0.0085
S4 S 0.2500 0.2500 0.5000
N1 N 0.0844 0.2296 0.5373
N2 N 0.1912 0.0070 0.2555
```

The calculation puts the formation energy from raw total energies at -1.787 eV/atom. As for the uncorrected energy: -7.14 eV per atom. The value obtained for the polymorph energy (0 for the lowest one) is 0.0118 eV/atom.



3.
Entry from Alexandria: a relaxed Pr4SbS2N crystal (PBE-GGA).

```
data_Pr4SbS2N
_chemical_formula_sum 'Pr16 Sb4 S8 N4'
_cell_length_a 4.1740
_cell_length_b 14.0148
_cell_length_c 14.4132
_cell_angle_alpha 90.00
_cell_angle_beta 90.00
_cell_angle_gamma 90.00
_space_group_name_H-M_alt 'C m c m'
_space_group_IT_number 63
_space_group_name_Hall '-C 2c 2'
loop_
_atom_site_label
_atom_site_type_symbol
_atom_site_fract_x
_atom_site_fract_y
_atom_site_fract_z
Pr1 Pr 0.0000 0.0000 0.0000
Pr2 Pr 0.0000 0.2631 0.1250
Pr3 Pr 0.0000 0.4252 0.7500
Sb1 Sb 0.0000 0.1060 0.7500
S1 S 0.0000 0.3671 0.5557
N1 N 0.0000 0.1618 0.2500
```

The calculation puts the formation energy from raw total energies at -1.561 eV/atom. As for the uncorrected energy: -6.54 eV per atom. The calculation puts the density of states at the Fermi level at 14.550 states/eV/cell.



4.
Entry from Alexandria: a relaxed Pr3SbSN crystal (PBE-GGA).

```
data_Pr3SbSN
_chemical_formula_sum 'Pr6 Sb2 S2 N2'
_cell_length_a 8.7475
_cell_length_b 4.2456
_cell_length_c 9.4892
_cell_angle_alpha 90.00
_cell_angle_beta 101.98
_cell_angle_gamma 90.00
_space_group_name_H-M_alt 'P 1 21/m 1'
_space_group_IT_number 11
_space_group_name_Hall '-P 2yb'
loop_
_atom_site_label
_atom_site_type_symbol
_atom_site_fract_x
_atom_site_fract_y
_atom_site_fract_z
Pr1 Pr 0.0753 0.2500 0.3462
Pr2 Pr 0.3333 0.2500 0.9833
Pr3 Pr 0.3946 0.7500 0.6551
Sb1 Sb 0.3166 0.7500 0.2823
S1 S 0.1557 0.2500 0.6508
N1 N 0.4059 0.7500 0.8976
```

The calculation puts the formation energy from raw total energies at -1.402 eV/atom. As for the uncorrected energy: -6.55 eV per atom. The calculation puts the density of states at the Fermi level at 5.055 states/eV/cell.



5.
Entry from Alexandria: a relaxed Pr4Se2SN crystal (PBE-GGA).

```
data_Pr4Se2SN
_chemical_formula_sum 'Pr4 Se2 S1 N1'
_cell_length_a 7.0378
_cell_length_b 4.0095
_cell_length_c 7.2446
_cell_angle_alpha 90.00
_cell_angle_beta 108.43
_cell_angle_gamma 90.00
_space_group_name_H-M_alt 'P 1 2/m 1'
_space_group_IT_number 10
_space_group_name_Hall '-P 2y'
loop_
_atom_site_label
_atom_site_type_symbol
_atom_site_fract_x
_atom_site_fract_y
_atom_site_fract_z
Pr1 Pr 0.2166 0.0000 0.2082
Pr2 Pr 0.2367 0.5000 0.7847
Se1 Se 0.0000 0.0000 0.5000
Se2 Se 0.5000 0.5000 0.5000
S1 S 0.5000 0.0000 0.0000
N1 N 0.0000 0.5000 0.0000
```

The calculation puts the formation energy from raw total energies at -1.740 eV/atom. As for the uncorrected energy: -6.56 eV per atom. The calculation puts the density of states at the Fermi level at 2.660 states/eV/cell.



6.
Entry from Alexandria: a relaxed Pr8Se4S3N crystal (PBE-GGA).

```
data_Pr8Se4S3N
_chemical_formula_sum 'Pr24 Se12 S9 N3'
_cell_length_a 8.2320
_cell_length_b 8.2320
_cell_length_c 20.5996
_cell_angle_alpha 90.00
_cell_angle_beta 90.00
_cell_angle_gamma 120.00
_space_group_name_H-M_alt 'R -3 m'
_space_group_IT_number 166
_space_group_name_Hall '-R 3 2"'
loop_
_atom_site_label
_atom_site_type_symbol
_atom_site_fract_x
_atom_site_fract_y
_atom_site_fract_z
Pr1 Pr 0.0000 0.0000 0.2435
Pr2 Pr 0.0260 0.5130 0.2386
Se1 Se 0.0000 0.0000 0.0000
Se2 Se 0.0000 0.5000 0.0000
S1 S 0.0000 0.5000 0.5000
N1 N 0.0000 0.0000 0.5000
```

The calculation puts the formation energy from raw total energies at -1.840 eV/atom. As for the uncorrected energy: -6.40 eV per atom. The calculation puts the density of states at the Fermi level at 15.408 states/eV/cell.



7.
Entry from Alexandria: a relaxed Pr8Se3S3N crystal (PBE-GGA).

```
data_Pr8Se3S3N
_chemical_formula_sum 'Pr24 Se9 S9 N3'
_cell_length_a 8.2336
_cell_length_b 8.2336
_cell_length_c 20.5768
_cell_angle_alpha 90.00
_cell_angle_beta 90.00
_cell_angle_gamma 120.00
_space_group_name_H-M_alt 'R -3 m'
_space_group_IT_number 166
_space_group_name_Hall '-R 3 2"'
loop_
_atom_site_label
_atom_site_type_symbol
_atom_site_fract_x
_atom_site_fract_y
_atom_site_fract_z
Pr1 Pr 0.0000 0.0000 0.2433
Pr2 Pr 0.0320 0.5160 0.2377
Se1 Se 0.0000 0.5000 0.0000
S1 S 0.0000 0.5000 0.5000
N1 N 0.0000 0.0000 0.5000
```

The calculation puts the formation energy from raw total energies at -1.705 eV/atom. As for the uncorrected energy: -6.33 eV per atom. The calculation puts the density of states at the Fermi level at 22.335 states/eV/cell.



8.
Entry from Alexandria: a relaxed Pr6Se3S2N crystal (PBE-GGA).

```
data_Pr6Se3S2N
_chemical_formula_sum 'Pr12 Se6 S4 N2'
_cell_length_a 7.0881
_cell_length_b 12.2649
_cell_length_c 7.2529
_cell_angle_alpha 90.00
_cell_angle_beta 109.00
_cell_angle_gamma 90.00
_space_group_name_H-M_alt 'C 1 2/m 1'
_space_group_IT_number 12
_space_group_name_Hall '-C 2y'
loop_
_atom_site_label
_atom_site_type_symbol
_atom_site_fract_x
_atom_site_fract_y
_atom_site_fract_z
Pr1 Pr 0.2259 0.1542 0.2150
Pr2 Pr 0.2360 0.0000 0.7812
Se1 Se 0.0000 0.1722 0.5000
Se2 Se 0.0000 0.5000 0.5000
S1 S 0.0000 0.3338 0.0000
N1 N 0.0000 0.0000 0.0000
```

The calculation puts the formation energy from raw total energies at -1.810 eV/atom. As for the uncorrected energy: -6.45 eV per atom. The calculation puts the density of states at the Fermi level at 9.668 states/eV/cell.



9.
Entry from Alexandria: a relaxed Pr4SeS2N crystal (PBE-GGA).

```
data_Pr4SeS2N
_chemical_formula_sum 'Pr8 Se2 S4 N2'
_cell_length_a 7.4141
_cell_length_b 7.4141
_cell_length_c 7.8190
_cell_angle_alpha 90.00
_cell_angle_beta 90.00
_cell_angle_gamma 90.00
_space_group_name_H-M_alt 'I -4 2 m'
_space_group_IT_number 121
_space_group_name_Hall 'I -4 2'
loop_
_atom_site_label
_atom_site_type_symbol
_atom_site_fract_x
_atom_site_fract_y
_atom_site_fract_z
Pr1 Pr 0.1863 0.1863 0.1678
Se1 Se 0.0000 0.0000 0.5000
S1 S 0.0000 0.5000 0.2500
N1 N 0.0000 0.0000 0.0000
```

The calculation puts the formation energy from raw total energies at -1.416 eV/atom. As for the uncorrected energy: -6.31 eV per atom. The calculation puts the density of states at the Fermi level at 14.312 states/eV/cell.



10.
Entry from Alexandria: a relaxed PrSmSN crystal (PBE-GGA).

```
data_PrSmSN
_chemical_formula_sum 'Pr3 Sm3 S3 N3'
_cell_length_a 3.7700
_cell_length_b 3.7700
_cell_length_c 19.6600
_cell_angle_alpha 90.00
_cell_angle_beta 90.00
_cell_angle_gamma 120.00
_space_group_name_H-M_alt 'R 3 m'
_space_group_IT_number 160
_space_group_name_Hall 'R 3 -2"'
loop_
_atom_site_label
_atom_site_type_symbol
_atom_site_fract_x
_atom_site_fract_y
_atom_site_fract_z
Pr1 Pr 0.0000 0.0000 0.0000
Sm1 Sm 0.0000 0.0000 0.4740
S1 S 0.0000 0.0000 0.2347
N1 N 0.0000 0.0000 0.7407
```

The calculation puts the formation energy from raw total energies at -1.731 eV/atom. As for the uncorrected energy: -7.22 eV per atom. The calculation puts the density of states at the Fermi level at 3.231 states/eV/cell.



11.
Entry from Alexandria: a relaxed TbPrSN crystal (PBE-GGA).

```
data_TbPrSN
_chemical_formula_sum 'Tb3 Pr3 S3 N3'
_cell_length_a 3.7203
_cell_length_b 3.7203
_cell_length_c 19.5179
_cell_angle_alpha 90.00
_cell_angle_beta 90.00
_cell_angle_gamma 120.00
_space_group_name_H-M_alt 'R 3 m'
_space_group_IT_number 160
_space_group_name_Hall 'R 3 -2"'
loop_
_atom_site_label
_atom_site_type_symbol
_atom_site_fract_x
_atom_site_fract_y
_atom_site_fract_z
Tb1 Tb 0.0000 0.0000 0.0000
Pr1 Pr 0.0000 0.0000 0.4737
S1 S 0.0000 0.0000 0.2411
N1 N 0.0000 0.0000 0.7299
```

The calculation puts the formation energy from raw total energies at -1.767 eV/atom. As for the uncorrected energy: -7.23 eV per atom. The calculation puts the density of states at the Fermi level at 2.945 states/eV/cell.



12.
Entry from Alexandria: a relaxed Pr3TeSN crystal (PBE-GGA).

```
data_Pr3TeSN
_chemical_formula_sum 'Pr6 Te2 S2 N2'
_cell_length_a 8.8801
_cell_length_b 4.1415
_cell_length_c 9.5383
_cell_angle_alpha 90.00
_cell_angle_beta 100.86
_cell_angle_gamma 90.00
_space_group_name_H-M_alt 'P 1 21/m 1'
_space_group_IT_number 11
_space_group_name_Hall '-P 2yb'
loop_
_atom_site_label
_atom_site_type_symbol
_atom_site_fract_x
_atom_site_fract_y
_atom_site_fract_z
Pr1 Pr 0.0680 0.2500 0.3593
Pr2 Pr 0.3334 0.2500 0.9869
Pr3 Pr 0.3809 0.7500 0.6557
Te1 Te 0.3209 0.7500 0.2864
S1 S 0.1576 0.2500 0.6649
N1 N 0.4106 0.7500 0.8982
```

The calculation puts the formation energy from raw total energies at -1.522 eV/atom. As for the uncorrected energy: -6.51 eV per atom. The calculation puts the density of states at the Fermi level at 5.184 states/eV/cell.



| no. | calculated volume (Å³/cell) |
| --- | --- |
| 1 | 373 |
| 2 | 1656 |
| 3 | 843 |
| 4 | 345 |
| 5 | 194 |
| 6 | 1209 |
| 7 | 1208 |
| 8 | 596 |
| 9 | 430 |
| 10 | 242 |
| 11 | 234 |
| 12 | 345 |